Here is a relaxed HfTe3F crystal from Alexandria via LeMat-Bulk. Energies are from PBE.

Output
The total energy is -0.3317 Ry/atom.

Cell lengths 5.445, 5.445, 5.445 Å; angles 90.00, 90.00, 90.00 degrees
Fractional positions:
Te 0.000 0.500 0.000
Te 0.000 0.000 0.500
Te 0.500 0.000 0.000
Hf 0.000 0.000 0.000
F 0.500 0.500 0.500



Here is a relaxed Sr2CaRe crystal from Alexandria via LeMat-Bulk. Energies are from PBE.

Output
The value obtained for the energy relative to the lowest polymorph listed for this composition is 160 meV/atom.

Cell lengths 5.580, 5.580, 5.580 Å; angles 60.00, 60.00, 60.00 degrees
Site moments in Bohr magnetons follow the coordinates.
Fractional positions:
Re 0.500 0.500 0.500  1.01
Ca 0.000 0.000 0.000  -0.05
Sr 0.250 0.250 0.250  -0.01
Sr 0.750 0.750 0.750  -0.01



Here is a relaxed NaSrMoOs2 crystal from Alexandria via LeMat-Bulk. Energies are from PBE.

Output
The total energy is -0.3012 Ry/atom.

Cell lengths 4.969, 5.057, 4.969 Å; angles 90.00, 90.00, 90.00 degrees
Site moments in Bohr magnetons follow the coordinates.
Fractional positions:
Sr 0.000 0.000 0.000  0.03
Mo 0.000 0.500 0.000  2.15
Os 0.000 0.000 0.500  0.69
Os 0.500 0.000 0.000  0.63
Na 0.500 0.500 0.500  -0.01



Here is a relaxed PuBi2Rh2 crystal from Alexandria via LeMat-Bulk. Energies are from PBE.

Output
The value obtained for the energy relative to the lowest polymorph listed for this composition is 97 meV/atom.

Cell lengths 4.594, 5.244, 10.248 Å; angles 115.10, 90.00, 90.00 degrees
Site moments in Bohr magnetons follow the coordinates.
Fractional positions:
Pu 0.750 0.930 0.891  5.24
Pu 0.250 0.070 0.109  5.24
Bi 0.250 0.371 0.840  -0.06
Bi 0.250 0.223 0.465  0.02
Bi 0.750 0.777 0.535  0.02
Bi 0.750 0.629 0.160  -0.06
Rh 0.750 0.386 0.665  -0.09
Rh 0.750 0.228 0.276  -0.21
Rh 0.250 0.772 0.724  -0.21
Rh 0.250 0.614 0.335  -0.09



Here is a relaxed Th2Sc3Sb2 crystal from Alexandria via LeMat-Bulk. Energies are from PBE.

Output
The total energy is -0.4841 Ry/atom.

Cell lengths 4.126, 6.265, 8.438 Å; angles 111.82, 90.00, 109.22 degrees
Fractional positions:
Th 0.870 0.740 0.208
Th 0.130 0.260 0.792
Sc 0.500 0.000 0.000
Sc 0.620 0.240 0.447
Sc 0.380 0.760 0.553
Sb 0.839 0.678 0.781
Sb 0.161 0.322 0.219



Here is a relaxed AlPd5Pt crystal from Alexandria via LeMat-Bulk. Energies are from PBE.

Output
The total energy is -0.3872 Ry/atom.

Cell lengths 5.443, 5.443, 11.401 Å; angles 58.24, 58.24, 61.08 degrees
Fractional positions:
Al 0.000 0.000 0.000
Al 0.000 0.000 0.500
Pd 0.599 0.888 0.255
Pd 0.259 0.482 0.498
Pd 0.888 0.599 0.755
Pd 0.101 0.899 0.250
Pd 0.518 0.741 0.002
Pd 0.482 0.259 0.998
Pd 0.899 0.101 0.750
Pd 0.112 0.401 0.245
Pd 0.741 0.518 0.502
Pd 0.401 0.112 0.745
Pt 0.622 0.378 0.250
Pt 0.378 0.622 0.750



Here is a relaxed Mg2CuH6Ir crystal from Alexandria via LeMat-Bulk. Energies are from PBE.

Output
The total energy is -0.2739 Ry/atom.

Cell lengths 4.944, 4.947, 5.025 Å; angles 60.25, 59.47, 90.19 degrees
Fractional positions:
Mg 0.746 0.251 0.503
Mg 0.254 0.749 0.497
Cu 0.000 0.000 0.000
H 0.281 0.278 0.495
H 0.812 0.733 0.950
H 0.296 0.791 0.994
H 0.704 0.209 0.006
H 0.188 0.267 0.050
H 0.719 0.722 0.505
Ir 0.500 0.500 0.000



Here is a relaxed BaLiAgAu crystal from Alexandria via LeMat-Bulk. Energies are from PBE.

Output
The value obtained for the energy relative to the lowest polymorph listed for this composition is 173 meV/atom.

Cell lengths 5.402, 5.402, 5.402 Å; angles 60.00, 60.00, 60.00 degrees
Fractional positions:
Au 0.750 0.750 0.750
Ba 0.000 0.000 0.000
Ag 0.250 0.250 0.250
Li 0.500 0.500 0.500



Here is a relaxed TaFeTe2 crystal from Alexandria via LeMat-Bulk. Energies are from PBE.

Output
The total energy is -0.4402 Ry/atom.

Cell lengths 6.233, 5.581, 3.134 Å; angles 73.29, 90.68, 124.18 degrees
Site moments in Bohr magnetons follow the coordinates.
Fractional positions:
Fe 0.000 0.500 0.500  2.77
Ta 0.500 0.500 0.000  -0.18
Te 0.000 0.000 0.000  0.01
Te 0.500 0.000 0.500  0.01



Here is a relaxed Be2NbTl2O6 crystal from Alexandria via LeMat-Bulk. Energies are from PBE.

Output
The total energy is -0.4848 Ry/atom.

Cell lengths 5.486, 5.486, 6.478 Å; angles 64.95, 64.95, 60.00 degrees
Fractional positions:
Be 0.405 0.405 0.786
Be 0.595 0.595 0.214
Nb 0.000 0.000 0.000
Tl 0.786 0.786 0.643
Tl 0.214 0.214 0.357
O 0.758 0.758 0.213
O 0.271 0.758 0.213
O 0.758 0.271 0.213
O 0.242 0.729 0.787
O 0.729 0.242 0.787
O 0.242 0.242 0.787



Here is a relaxed CrHg2S crystal from Alexandria via LeMat-Bulk. Energies are from PBE.

Output
The total energy is -0.2556 Ry/atom.

Cell lengths 9.803, 9.803, 7.279 Å; angles 47.67, 47.67, 90.00 degrees
Site moments in Bohr magnetons follow the coordinates.
Fractional positions:
Cr 0.000 0.000 0.000  3.39
Cr 0.750 0.250 0.500  3.39
S 0.500 0.500 0.000  -0.14
S 0.250 0.750 0.500  -0.14
Hg 0.730 0.125 0.250  0.02
Hg 0.020 0.625 0.250  0.02
Hg 0.375 0.270 0.750  0.02
Hg 0.875 0.980 0.750  0.02



Here is a relaxed AlRu3 crystal from Alexandria via LeMat-Bulk. Energies are from PBE.

Output
The total energy is -0.5907 Ry/atom.

Cell lengths 4.771, 4.771, 4.771 Å; angles 133.64, 133.64, 67.65 degrees
Fractional positions:
Ru 0.250 0.750 0.500
Ru 0.500 0.500 0.000
Ru 0.750 0.250 0.500
Al 0.000 0.000 0.000



Here is a relaxed ScAlBi3 crystal from Alexandria via LeMat-Bulk. Energies are from PBE.

Output
The value obtained for the energy relative to the lowest polymorph listed for this composition is 0 meV/atom.

Cell lengths 5.606, 5.606, 5.606 Å; angles 90.00, 90.00, 90.00 degrees
Fractional positions:
Sc 0.000 0.000 0.000
Bi 0.000 0.500 0.000
Bi 0.000 0.000 0.500
Bi 0.500 0.000 0.000
Al 0.500 0.500 0.500



Here is a relaxed AuSeBr2Cl crystal from Alexandria via LeMat-Bulk. Energies are from PBE.

Output
The value obtained for the energy relative to the lowest polymorph listed for this composition is 0 meV/atom.

Cell lengths 5.248, 5.248, 5.273 Å; angles 90.00, 90.00, 90.00 degrees
Site moments in Bohr magnetons follow the coordinates.
Fractional positions:
Au 0.000 0.000 0.000  0.07
Se 0.000 0.000 0.500  0.89
Br 0.000 0.500 0.000  0.13
Br 0.500 0.000 0.000  0.13
Cl 0.500 0.500 0.500  0.52



Here is a relaxed VCoRu3 crystal from Alexandria via LeMat-Bulk. Energies are from PBE.

Output
The value obtained for the energy relative to the lowest polymorph listed for this composition is 1380 meV/atom.

Cell lengths 4.409, 4.409, 4.409 Å; angles 90.00, 90.00, 90.00 degrees
Site moments in Bohr magnetons follow the coordinates.
Fractional positions:
Ru 0.000 0.500 0.000  0.68
Ru 0.000 0.000 0.500  0.68
Ru 0.500 0.000 0.000  0.68
Co 0.500 0.500 0.500  2.19
V 0.000 0.000 0.000  -0.16



Here is a relaxed YTl2 crystal from Alexandria via LeMat-Bulk. Energies are from PBE.

Output
The total energy is -0.2836 Ry/atom.

Cell lengths 5.273, 5.273, 3.599 Å; angles 90.00, 90.00, 90.00 degrees
Fractional positions:
Tl 0.000 0.500 0.500
Tl 0.500 0.000 0.500
Y 0.000 0.000 0.000



Here is a relaxed BaAgCl crystal from Alexandria via LeMat-Bulk. Energies are from PBE.

Output
The value obtained for the energy relative to the lowest polymorph listed for this composition is 135 meV/atom.

Cell lengths 5.305, 5.305, 5.305 Å; angles 60.00, 60.00, 60.00 degrees
Fractional positions:
Ba 0.500 0.500 0.500
Ag 0.000 0.000 0.000
Cl 0.750 0.750 0.750



Here is a relaxed Pa2MnC2 crystal from Alexandria via LeMat-Bulk. Energies are from PBE.

Output
The value obtained for the energy relative to the lowest polymorph listed for this composition is 53 meV/atom.

Cell lengths 6.470, 5.704, 8.437 Å; angles 90.00, 108.35, 90.00 degrees
Fractional positions:
Pa 0.431 0.267 0.091
Pa 0.931 0.233 0.091
Pa 0.069 0.767 0.909
Pa 0.569 0.733 0.909
Pa 0.877 0.592 0.315
Pa 0.377 0.908 0.315
Pa 0.623 0.092 0.685
Pa 0.123 0.408 0.685
Mn 0.333 0.422 0.395
Mn 0.667 0.578 0.605
Mn 0.833 0.078 0.395
Mn 0.167 0.922 0.605
C 0.682 0.930 0.178
C 0.182 0.570 0.178
C 0.818 0.430 0.822
C 0.318 0.070 0.822
C 0.626 0.307 0.430
C 0.126 0.193 0.430
C 0.874 0.807 0.570
C 0.374 0.693 0.570



Here is a relaxed Ac2Zn4Pd3Pb crystal from Alexandria via LeMat-Bulk. Energies are from PBE.

Output
The total energy is -0.2789 Ry/atom.

Cell lengths 4.404, 4.404, 11.303 Å; angles 90.00, 90.00, 90.00 degrees
Fractional positions:
Ac 0.500 0.000 0.238
Ac 0.000 0.500 0.762
Zn 0.500 0.500 0.000
Zn 0.000 0.000 0.000
Zn 0.500 0.000 0.648
Zn 0.000 0.500 0.352
Pd 0.000 0.000 0.500
Pd 0.500 0.000 0.874
Pd 0.000 0.500 0.126
Pb 0.500 0.500 0.500



Here is a relaxed CaPrSmMg crystal from Alexandria via LeMat-Bulk. Energies are from PBE.

Output
The value obtained for the energy relative to the lowest polymorph listed for this composition is 56 meV/atom.

Cell lengths 5.698, 5.698, 5.698 Å; angles 60.00, 60.00, 60.00 degrees
Fractional positions:
Pr 0.250 0.250 0.250
Ca 0.500 0.500 0.500
Mg 0.000 0.000 0.000
Sm 0.750 0.750 0.750



Here is a relaxed Zn2NiMo crystal from Alexandria via LeMat-Bulk. Energies are from PBE.

Output
The value obtained for the energy relative to the lowest polymorph listed for this composition is 502 meV/atom.

Cell lengths 6.816, 6.816, 5.445 Å; angles 51.26, 51.26, 90.00 degrees
Fractional positions:
Ni 0.500 0.500 0.000
Ni 0.250 0.750 0.500
Mo 0.000 0.000 0.000
Mo 0.750 0.250 0.500
Zn 0.598 0.125 0.250
Zn 0.152 0.625 0.250
Zn 0.375 0.402 0.750
Zn 0.875 0.848 0.750



| no. | calculated density (g/cm3) |
| --- | --- |
| 1 | 6.0 |
| 2 | 5.4 |
| 3 | 7.8 |
| 4 | 12.9 |
| 5 | 7.4 |
| 6 | 10.7 |
| 7 | 6.0 |
| 8 | 6.7 |
| 9 | 9.6 |
| 10 | 6.9 |
| 11 | 7.5 |
| 12 | 9.8 |
| 13 | 6.6 |
| 14 | 5.4 |
| 15 | 8.0 |
| 16 | 8.3 |
| 17 | 4.4 |
| 18 | 12.2 |
| 19 | 9.4 |
| 20 | 4.5 |
| 21 | 8.1 |